VCdO2 | PBE+U | relaxed

Unit cell a=3.0340 b=3.0340 c=20.7197 alpha=90.00 beta=90.00 gamma=120.00
Space group R-3m (No. 166, hexagonal axes)
One atom of each set of equivalent atoms:
V: 0.0000 0.0000 0.0000 [3 per cell]
Cd: 0.0000 0.0000 0.5000 [3 per cell]
O: 0.0000 0.0000 0.3831 [6 per cell]

- Calculated total energy: -24.031 eV per formula unit